Material: CaSm2Rh
Method: DFT, PBE
State: relaxed

Its symmetry is P4/mmm (123). The formation enthalpy at 0 K comes out at -128 kJ/mol of formula units.

abc: 3.5882 3.5882 9.3251
angles: 90.00 90.00 90.00
Positions (direct):
Ca  0.0000  0.0000  0.0000
Sm  0.5000  0.5000  0.3250
Sm  0.5000  0.5000  0.6750
Rh  0.0000  0.0000  0.5000



Material: TmMg5Ag4
Method: DFT, PBE
State: relaxed

Its symmetry is P4/mmm (123). The formation enthalpy at 0 K comes out at -189 kJ/mol of formula units.

abc: 3.3464 3.3464 18.0092
angles: 90.00 90.00 90.00
Positions (direct):
Tm  0.0000  0.0000  0.0000
Mg  0.5000  0.5000  0.1314
Mg  0.5000  0.5000  0.3159
Mg  0.5000  0.5000  0.5000
Mg  0.5000  0.5000  0.6841
Mg  0.5000  0.5000  0.8686
Ag  0.0000  0.0000  0.2230
Ag  0.0000  0.0000  0.4079
Ag  0.0000  0.0000  0.5921
Ag  0.0000  0.0000  0.7770